Computed, not measured: a geometry-optimized HfNiPS2 structure at the PBE level of DFT.

Cell: 4.385 4.385 4.400 Å, 90.00 90.00 90.00°
Fractional coordinates of all 5 atoms:
Ni 0.000 0.000 0.000
Hf 0.500 0.500 0.500
S 0.000 0.500 0.000
S 0.500 0.000 0.000
P 0.000 0.000 0.500

SG = P4/mmm, No. 123
Raw formation energy = 0.026 eV/atom

=====

Computed, not measured: a geometry-optimized HoSi3TcOs structure at the PBE level of DFT.

Cell: 5.453 7.749 6.719 Å, 125.21 90.00 90.00°
Fractional coordinates of all 12 atoms:
Si 0.250 0.248 0.496
Tc 0.750 0.551 0.102
Si 0.750 0.752 0.504
Si 0.500 0.251 0.000
Si 0.500 0.749 0.000
Os 0.250 0.046 0.091
Si 0.000 0.749 0.000
Ho 0.250 0.762 0.524
Tc 0.250 0.449 0.898
Os 0.750 0.954 0.909
Ho 0.750 0.238 0.476
Si 0.000 0.251 0.000

SG = Cmcm, No. 63
Raw formation energy = -0.296 eV/atom

=====

Computed, not measured: a geometry-optimized In2Sn2S structure at the PBE level of DFT.

Cell: 7.616 7.616 4.751 Å, 90.00 90.00 90.00°
Fractional coordinates of all 10 atoms:
Sn 0.336 0.836 0.000
In 0.348 0.152 0.500
Sn 0.836 0.664 0.000
S 0.500 0.500 0.000
Sn 0.664 0.164 0.000
In 0.152 0.652 0.500
In 0.848 0.348 0.500
Sn 0.164 0.336 0.000
In 0.652 0.848 0.500
S 0.000 0.000 0.000

SG = P4/mbm, No. 127
Raw formation energy = 0.031 eV/atom

=====

Computed, not measured: a geometry-optimized LaPmEr2Th structure at the PBE level of DFT.

Cell: 5.790 6.326 9.644 Å, 71.06 90.00 90.00°
Fractional coordinates of all 10 atoms:
Th 0.250 0.914 0.796
Er 0.250 0.340 0.007
Pm 0.750 0.468 0.395
Th 0.750 0.086 0.204
Er 0.750 0.660 0.993
Er 0.750 0.872 0.593
Pm 0.250 0.532 0.605
La 0.750 0.243 0.812
Er 0.250 0.128 0.407
La 0.250 0.757 0.188

SG = P2_1/m, No. 11
Energy of formation = 0.056 eV/atom

=====

Computed, not measured: a geometry-optimized BaSrLiAg2 structure at the PBE level of DFT.

Cell: 4.696 4.696 9.260 Å, 90.00 90.00 120.00°
Fractional coordinates of all 5 atoms:
Ag 0.667 0.333 0.744
Li 0.333 0.667 0.676
Ag 0.333 0.667 0.206
Ba 0.000 0.000 0.980
Sr 0.667 0.333 0.394

SG = P3m1, No. 156
Energy of formation = -0.120 eV/atom

=====

Computed, not measured: a geometry-optimized Ho2Er5Th structure at the PBE level of DFT.

Cell: 4.983 7.041 14.110 Å, 90.00 90.00 90.00°
Fractional coordinates of all 16 atoms:
Er 0.500 0.254 0.876
Ho 0.500 0.246 0.624
Er 0.000 0.500 0.751
Ho 0.500 0.754 0.376
Er 0.500 0.746 0.124
Er 0.000 0.000 0.000
Th 0.000 0.500 0.000
Er 0.500 0.755 0.623
Er 0.000 0.000 0.749
Ho 0.500 0.254 0.124
Er 0.000 0.500 0.249
Er 0.000 0.000 0.251
Er 0.000 0.500 0.500
Th 0.000 0.000 0.500
Ho 0.500 0.746 0.876
Er 0.500 0.245 0.377

SG = Pbam, No. 55
Energy of formation = 0.026 eV/atom

=====

Computed, not measured: a geometry-optimized SrPb3 structure at the PBE level of DFT.

Cell: 4.303 4.303 7.214 Å, 90.00 90.00 90.00°
Fractional coordinates of all 4 atoms:
Pb 0.000 0.000 0.471
Pb 0.500 0.500 0.250
Sr 0.500 0.500 0.750
Pb 0.000 0.000 0.029

SG = P4/mmm, No. 123
Energy of formation = -0.251 eV/atom

=====

Computed, not measured: a geometry-optimized K3Na3MgCl8 structure at the PBE level of DFT.

Cell: 8.222 8.229 8.638 Å, 118.49 90.00 119.97°
Fractional coordinates of all 15 atoms:
Cl 0.784 0.568 0.300
Cl 0.216 0.432 0.700
Cl 0.768 0.984 0.700
Cl 0.260 0.519 0.280
K 0.000 0.500 0.000
K 0.000 0.000 0.000
Na 0.500 0.500 0.500
Na 0.000 0.500 0.500
K 0.500 0.500 0.000
Cl 0.232 0.016 0.300
Cl 0.216 0.984 0.700
Mg 0.000 0.000 0.500
Cl 0.784 0.016 0.300
Na 0.500 0.000 0.500
Cl 0.740 0.481 0.720

SG = C2/m, No. 12
Raw formation energy = -1.870 eV/atom

=====

Computed, not measured: a geometry-optimized NpInAg structure at the PBE level of DFT.

Cell: 3.074 3.074 7.323 Å, 102.12 102.12 90.00°
Fractional coordinates of all 3 atoms:
Np 0.003 0.003 0.006
Ag 0.674 0.674 0.348
In 0.323 0.323 0.647

SG = I4mm, No. 107
Energy of formation = 0.182 eV/atom

=====

Computed, not measured: a geometry-optimized GePSeO2 structure at the PBE level of DFT.

Cell: 3.571 3.571 6.410 Å, 90.00 90.00 90.00°
Fractional coordinates of all 5 atoms:
P 0.000 0.000 0.500
Ge 0.000 0.000 0.000
O 0.500 0.000 0.000
Se 0.500 0.500 0.500
O 0.000 0.500 0.000

SG = P4/mmm, No. 123
Raw formation energy = -0.276 eV/atom

=====

Computed, not measured: a geometry-optimized CaPr5Sb4 structure at the PBE level of DFT.

Cell: 4.461 8.888 10.006 Å, 105.24 102.88 90.00°
Fractional coordinates of all 10 atoms:
Pr 0.163 0.833 0.325
Pr 0.828 0.657 0.655
Sb 0.330 0.910 0.660
Sb 0.993 0.745 0.987
Sb 0.007 0.255 0.013
Pr 0.837 0.167 0.675
Pr 0.500 0.500 0.000
Ca 0.500 0.000 0.000
Sb 0.670 0.090 0.340
Pr 0.172 0.343 0.345

SG = C2/m, No. 12
Raw formation energy = -0.744 eV/atom

=====

Computed, not measured: a geometry-optimized LiPrDy structure at the PBE level of DFT.

Cell: 3.682 3.682 12.978 Å, 89.99 89.99 89.99°
Fractional coordinates of all 6 atoms:
Dy 0.749 0.749 0.292
Li 0.750 0.750 0.550
Li 0.250 0.250 0.450
Pr 0.250 0.250 0.105
Dy 0.251 0.251 0.708
Pr 0.750 0.750 0.895

SG = C2/m, No. 12
Energy of formation = 0.056 eV/atom